A plane-wave DFT calculation with PBE was carried out for a geometry-optimized Dy12Er5Cd2 structure.

Structure (CIF):
```
data_Dy12Er5Cd2
_chemical_formula_sum 'Dy24 Er10 Cd4'
_symmetry_space_group_name_H-M 'C 1 2/m 1'
_symmetry_Int_Tables_number 12
_cell_length_a 15.5150
_cell_length_b 9.1556
_cell_length_c 8.2085
_cell_angle_alpha 90.00
_cell_angle_beta 91.05
_cell_angle_gamma 90.00
loop_
_symmetry_equiv_pos_as_xyz
'x,y,z'
'-x,-y,-z'
'-x,y,-z'
'x,-y,z'
'x+1/2,y+1/2,z'
'-x+1/2,-y+1/2,-z'
'-x+1/2,y+1/2,-z'
'x+1/2,-y+1/2,z'
loop_
_atom_site_label
_atom_site_fract_x
_atom_site_fract_y
_atom_site_fract_z
Dy1 0.0548 0.0000 0.3223
Dy2 0.0872 0.5000 0.8903
Dy3 0.1248 0.1953 0.6626
Dy4 0.1523 0.3149 0.2411
Er1 0.0000 0.5000 0.5000
Er2 0.1949 0.0000 0.0066
Er3 0.2354 0.5000 0.5820
Cd1 0.0000 0.1808 0.0000
```

Summary:
DFT formation energy: 0.05 eV/atom
energy: -4.153 eV per atom